Compound: ZrTl
Source: Alexandria via LeMat-Bulk
Functional: GGA-PBE
Structure: optimized geometry

Summary:
**Formation energy from the elements**: -0.01 eV per atom
**Space group**: C2/m, No. 12
**Fermi-level density of states**: 2.39 states/eV per cell

The structure in CIF format:
```
data_ZrTl
_cell_length_a 6.187
_cell_length_b 6.110
_cell_length_c 6.110
_cell_angle_alpha 148.23
_cell_angle_beta 128.62
_cell_angle_gamma 61.56
_symmetry_space_group_name_H-M 'P 1'
_symmetry_Int_Tables_number 1
loop_
_symmetry_equiv_pos_as_xyz
'x,y,z'
loop_
_atom_site_label
_atom_site_type_symbol
_atom_site_fract_x
_atom_site_fract_y
_atom_site_fract_z
_atom_site_occupancy
Tl1 Tl 0.899 0.249 0.651 1
Zr1 Zr 0.519 0.497 0.022 1
Tl2 Tl 0.017 0.001 0.016 1
Zr2 Zr 0.398 0.753 0.645 1
```